Material: POs2Ru
Method: DFT, GGA-PBE
State: relaxed

Unit cell a=5.0903 b=5.0903 c=5.0903 alpha=147.44 beta=129.71 gamma=61.20
Atoms (fractional coordinates):
1 P 0.0000 0.0000 0.0000
2 Os 0.2156 0.7156 0.5000
3 Os 0.4982 0.4982 0.0000
4 Ru 0.7869 0.2869 0.5000

Output
- Total magnetization: 0.000 μB/f.u.
- Symmetry: Imm2
- Formation enthalpy at 0 K: 0.20 eV/f.u.